[1]
# K5Rb3Sb3 | Alexandria | PBE | optimized geometry
data_K5Rb3Sb3
_chemical_formula_sum 'K5 Rb3 Sb3'
_symmetry_space_group_name_H-M 'P -6 2 m'
_symmetry_Int_Tables_number 189
_symmetry_space_group_name_Hall 'P -6 -2'
_cell_length_a 10.8818
_cell_length_b 10.8818
_cell_length_c 7.1129
_cell_angle_alpha 90.00
_cell_angle_beta 90.00
_cell_angle_gamma 120.00
loop_
_atom_site_label
_atom_site_type_symbol
_atom_site_fract_x
_atom_site_fract_y
_atom_site_fract_z
_atom_site_occupancy
K1 K 0.0000 0.7249 0.0000 1
K2 K 0.3333 0.6667 0.0000 1
Rb1 Rb 0.0000 0.3622 0.5000 1
Sb1 Sb 0.0000 0.3653 0.0000 1
# E	-2.1673	eV/atom
# volume	729	Å³ per cell
# N(E_F)	15.7	states/eV per cell

***

[2]
# K2YV | Alexandria | PBE | optimized geometry
data_K2YV
_chemical_formula_sum 'K8 Y4 V4'
_symmetry_space_group_name_H-M 'F m -3 m'
_symmetry_Int_Tables_number 225
_symmetry_space_group_name_Hall '-F 4 2 3'
_cell_length_a 8.516
_cell_length_b 8.516
_cell_length_c 8.516
_cell_angle_alpha 90.00
_cell_angle_beta 90.00
_cell_angle_gamma 90.00
loop_
_atom_site_label
_atom_site_type_symbol
_atom_site_fract_x
_atom_site_fract_y
_atom_site_fract_z
_atom_site_occupancy
K1 K 0.250 0.250 0.250 1
Y1 Y 0.000 0.000 0.000 1
V1 V 0.000 0.000 0.500 1
# E	-3.1687	eV/atom
# DFT formation energy	1.276	eV/atom
# volume	618	Å³ per cell
# N(E_F)	29.7	states/eV per cell
# energy above the lowest structure with this stoichiometry	79	meV/atom

***

[3]
# CeTh2C2 | Alexandria | PBE | optimized geometry
data_CeTh2C2
_chemical_formula_sum 'Ce2 Th4 C4'
_symmetry_space_group_name_H-M 'I m m m'
_symmetry_Int_Tables_number 71
_symmetry_space_group_name_Hall '-I 2 2'
_cell_length_a 3.654
_cell_length_b 5.321
_cell_length_c 11.094
_cell_angle_alpha 90.00
_cell_angle_beta 90.00
_cell_angle_gamma 90.00
loop_
_atom_site_label
_atom_site_type_symbol
_atom_site_fract_x
_atom_site_fract_y
_atom_site_fract_z
_atom_site_occupancy
Ce1 Ce 0.000 0.000 0.000 1
Th1 Th 0.000 0.000 0.326 1
C1 C 0.000 0.500 0.331 1
# E	-8.0349	eV/atom
# DFT formation energy	-0.191	eV/atom
# volume	216	Å³ per cell
# N(E_F)	14.1	states/eV per cell
# energy above the lowest structure with this stoichiometry	33	meV/atom

***

[4]
# TaTc3Bi | Alexandria | PBE | optimized geometry
data_TaTc3Bi
_chemical_formula_sum 'Ta1 Tc3 Bi1'
_symmetry_space_group_name_H-M 'P m -3 m'
_symmetry_Int_Tables_number 221
_symmetry_space_group_name_Hall '-P 4 2 3'
_cell_length_a 4.830
_cell_length_b 4.830
_cell_length_c 4.830
_cell_angle_alpha 90.00
_cell_angle_beta 90.00
_cell_angle_gamma 90.00
loop_
_atom_site_label
_atom_site_type_symbol
_atom_site_fract_x
_atom_site_fract_y
_atom_site_fract_z
_atom_site_occupancy
Ta1 Ta 0.000 0.000 0.000 1
Tc1 Tc 0.000 0.500 0.500 1
Bi1 Bi 0.500 0.500 0.500 1
# E	-6.9898	eV/atom
# DFT formation energy	2.376	eV/atom
# volume	113	Å³ per cell
# N(E_F)	5.5	states/eV per cell
# energy above the lowest structure with this stoichiometry	867	meV/atom

***

[5]
# Na2NiIr | Alexandria | PBE | optimized geometry
data_Na2NiIr
_chemical_formula_sum 'Na8 Ni4 Ir4'
_symmetry_space_group_name_H-M 'F m -3 m'
_symmetry_Int_Tables_number 225
_symmetry_space_group_name_Hall '-F 4 2 3'
_cell_length_a 6.511
_cell_length_b 6.511
_cell_length_c 6.511
_cell_angle_alpha 90.00
_cell_angle_beta 90.00
_cell_angle_gamma 90.00
loop_
_atom_site_label
_atom_site_type_symbol
_atom_site_fract_x
_atom_site_fract_y
_atom_site_fract_z
_atom_site_occupancy
Na1 Na 0.250 0.250 0.250 1
Ni1 Ni 0.000 0.000 0.000 1
Ir1 Ir 0.000 0.000 0.500 1
# E	-3.3522	eV/atom
# DFT formation energy	0.968	eV/atom
# volume	276	Å³ per cell
# N(E_F)	25.9	states/eV per cell
# energy above the lowest structure with this stoichiometry	113	meV/atom

***

[6]
# Ti3BiTe | Alexandria | PBE | optimized geometry
data_Ti3BiTe
_chemical_formula_sum 'Ti3 Bi1 Te1'
_symmetry_space_group_name_H-M 'P m -3 m'
_symmetry_Int_Tables_number 221
_symmetry_space_group_name_Hall '-P 4 2 3'
_cell_length_a 5.101
_cell_length_b 5.101
_cell_length_c 5.101
_cell_angle_alpha 90.00
_cell_angle_beta 90.00
_cell_angle_gamma 90.00
loop_
_atom_site_label
_atom_site_type_symbol
_atom_site_fract_x
_atom_site_fract_y
_atom_site_fract_z
_atom_site_occupancy
Ti1 Ti 0.000 0.000 0.500 1
Bi1 Bi 0.500 0.500 0.500 1
Te1 Te 0.000 0.000 0.000 1
# E	-5.6051	eV/atom
# volume	133	Å³ per cell
# N(E_F)	6.5	states/eV per cell
# energy above the lowest structure with this stoichiometry	918	meV/atom